1.
Material: La12Nd5Pb3
Method: DFT, GGA-PBE
State: optimized geometry

a = 15.865 Å, b = 15.865 Å, c = 15.865 Å
α = 109.47°, β = 109.47°, γ = 109.47°
Element x y z (fractional)
La1 0.053 0.235 0.140
La2 0.053 0.318 0.912
La3 0.088 0.640 0.405
La4 0.088 0.947 0.682
La5 0.095 0.735 0.682
La6 0.095 0.860 0.412
La7 0.140 0.053 0.235
La8 0.140 0.588 0.905
La9 0.182 0.235 0.595
La10 0.182 0.447 0.588
La11 0.235 0.140 0.053
La12 0.235 0.595 0.182
La13 0.265 0.318 0.905
La14 0.265 0.447 0.360
La15 0.318 0.905 0.265
La16 0.318 0.912 0.053
La17 0.360 0.265 0.447
La18 0.360 0.595 0.912
La19 0.405 0.088 0.640
La20 0.405 0.818 0.765
La21 0.412 0.095 0.860
La22 0.412 0.818 0.553
La23 0.447 0.360 0.265
La24 0.447 0.588 0.182
La25 0.553 0.412 0.818
La26 0.553 0.640 0.735
La27 0.588 0.182 0.447
La28 0.588 0.905 0.140
La29 0.595 0.182 0.235
La30 0.595 0.912 0.360
La31 0.640 0.405 0.088
La32 0.640 0.735 0.553
La33 0.682 0.088 0.947
La34 0.682 0.095 0.735
La35 0.735 0.553 0.640
La36 0.735 0.682 0.095
La37 0.765 0.405 0.818
La38 0.765 0.860 0.947
La39 0.818 0.553 0.412
La40 0.818 0.765 0.405
La41 0.860 0.412 0.095
La42 0.860 0.947 0.765
La43 0.905 0.140 0.588
La44 0.905 0.265 0.318
La45 0.912 0.053 0.318
La46 0.912 0.360 0.595
La47 0.947 0.682 0.088
La48 0.947 0.765 0.860
Nd1 0.000 0.000 0.000
Nd2 0.000 0.000 0.500
Nd3 0.000 0.500 0.000
Nd4 0.000 0.500 0.500
Nd5 0.125 0.750 0.875
Nd6 0.125 0.875 0.250
Nd7 0.250 0.125 0.875
Nd8 0.250 0.625 0.375
Nd9 0.375 0.250 0.625
Nd10 0.375 0.625 0.750
Nd11 0.500 0.000 0.000
Nd12 0.500 0.000 0.500
Nd13 0.500 0.500 0.000
Nd14 0.500 0.500 0.500
Nd15 0.625 0.375 0.250
Nd16 0.625 0.750 0.375
Nd17 0.750 0.375 0.625
Nd18 0.750 0.875 0.125
Nd19 0.875 0.125 0.750
Nd20 0.875 0.250 0.125
Pb1 0.125 0.250 0.375
Pb2 0.125 0.375 0.750
Pb3 0.250 0.375 0.125
Pb4 0.250 0.875 0.625
Pb5 0.375 0.125 0.250
Pb6 0.375 0.750 0.125
Pb7 0.625 0.250 0.875
Pb8 0.625 0.875 0.750
Pb9 0.750 0.125 0.375
Pb10 0.750 0.625 0.875
Pb11 0.875 0.625 0.250
Pb12 0.875 0.750 0.625

---

2.
Material: LaNd3Pb4
Method: DFT, GGA-PBE
State: optimized geometry

a = 10.414 Å, b = 10.414 Å, c = 10.414 Å
α = 159.49°, β = 137.82°, γ = 47.33°
Element x y z (fractional)
La1 0.000 0.000 0.000
Nd1 0.218 0.718 0.500
Nd2 0.500 0.500 0.000
Nd3 0.782 0.282 0.500
Pb1 0.159 0.871 0.288
Pb2 0.417 0.129 0.288
Pb3 0.583 0.871 0.712
Pb4 0.841 0.129 0.712

---

3.
Material: LaNd2Pb3
Method: DFT, GGA-PBE
State: optimized geometry

a = 9.381 Å, b = 9.381 Å, c = 9.381 Å
α = 148.26°, β = 120.89°, γ = 68.66°
Element x y z (fractional)
La1 0.417 0.167 0.250
La2 0.583 0.833 0.750
Nd1 0.083 0.833 0.250
Nd2 0.249 0.499 0.750
Nd3 0.751 0.501 0.250
Nd4 0.917 0.167 0.750
Pb1 0.000 0.000 0.000
Pb2 0.162 0.665 0.497
Pb3 0.332 0.335 0.997
Pb4 0.500 0.000 0.500
Pb5 0.668 0.665 0.003
Pb6 0.838 0.335 0.503

---

4.
Material: LaNd5Pb6
Method: DFT, GGA-PBE
State: optimized geometry

a = 9.427 Å, b = 9.427 Å, c = 6.964 Å
α = 90.00°, β = 90.00°, γ = 143.20°
Element x y z (fractional)
La1 0.000 0.000 0.000
Nd1 0.000 0.000 0.500
Nd2 0.333 0.667 0.000
Nd3 0.334 0.666 0.500
Nd4 0.666 0.334 0.500
Nd5 0.667 0.333 0.000
Pb1 0.168 0.832 0.254
Pb2 0.168 0.832 0.746
Pb3 0.500 0.500 0.254
Pb4 0.500 0.500 0.746
Pb5 0.832 0.168 0.254
Pb6 0.832 0.168 0.746

---

For each record above, in turn, the calculated volume values are 3073.7; 264.9; 367.8; 370.8 Å³/cell.
For each record above, in turn, the calculated DOS(E_F) values are 1.392; 0.998; 0.992; 1.109 states/eV per atom.
For each record above, in turn, the calculated DFT formation energy values are 460; -402; -537; -494 meV/atom.